# 1
Sr8Ca3NdTl2Cu8Pb2O28 | Alexandria via LeMat-Bulk | GGA-PBEsol | optimized geometry; formation energy from raw total energies = -8959 kJ/mol of formula units
1.0
7.514 -0.001 0.000
0.000 7.514 0.000
-3.757 -3.756 12.078
Sr Ca Nd Tl Cu Pb O
8 3 1 2 8 2 28
direct
0.142 0.142 0.285
0.143 0.643 0.285
0.643 0.143 0.285
0.645 0.645 0.289
0.355 0.355 0.711
0.357 0.857 0.715
0.857 0.357 0.715
0.858 0.858 0.715
0.000 0.500 0.000
0.500 0.000 0.000
0.000 0.000 0.000
0.500 0.500 0.000
0.500 0.500 0.500
0.000 0.000 0.500
0.823 0.320 0.143
0.821 0.821 0.139
0.318 0.318 0.139
0.320 0.823 0.143
0.177 0.680 0.857
0.179 0.179 0.861
0.682 0.682 0.861
0.680 0.177 0.857
0.500 0.000 0.500
0.000 0.500 0.500
0.911 0.412 0.323
0.913 0.913 0.329
0.415 0.415 0.329
0.412 0.911 0.323
0.089 0.588 0.677
0.087 0.087 0.671
0.585 0.585 0.671
0.588 0.089 0.677
0.250 0.250 0.499
0.250 0.750 0.500
0.750 0.250 0.500
0.750 0.750 0.501
0.814 0.064 0.129
0.813 0.565 0.129
0.315 0.065 0.129
0.315 0.564 0.129
0.065 0.315 0.129
0.064 0.814 0.129
0.564 0.315 0.129
0.565 0.813 0.129
0.187 0.435 0.871
0.186 0.936 0.871
0.685 0.436 0.871
0.685 0.935 0.871
0.436 0.685 0.871
0.435 0.187 0.871
0.935 0.685 0.871
0.936 0.186 0.871



# 2
Ca2CuNi | Alexandria via LeMat-Bulk | GGA-PBEsol | optimized geometry; energy of formation from the pure elements = -93.2 meV per atom
1.0
4.035 0.000 0.000
2.018 3.495 0.000
2.018 1.165 7.017
Ni Ca Cu
1 2 1
direct
0.208 0.208 0.376
0.961 0.961 0.117
0.789 0.789 0.633
0.542 0.542 0.374



# 3
CaCuNi2 | Alexandria via LeMat-Bulk | GGA-PBEsol | optimized geometry; energy of formation from the pure elements = -60.8 meV per atom
1.0
-0.301 1.669 3.630
1.736 -1.748 3.159
4.436 2.444 1.455
Ni Ca Cu
2 1 1
direct
0.991 0.991 0.028
0.309 0.309 0.073
0.500 0.500 0.499
0.694 0.694 0.918



# 4
CaCuNi | Alexandria via LeMat-Bulk | GGA-PBEsol | optimized geometry; energy of formation from the pure elements = -146.5 meV per atom
1.0
-4.423 1.444 1.907
-1.227 -1.287 4.757
-0.139 3.596 3.584
Ni Ca Cu
2 2 2
direct
0.000 0.000 0.000
0.000 0.500 0.500
0.627 0.623 0.123
0.373 0.377 0.877
0.000 0.000 0.500
0.500 0.000 0.500



# 5
Ca2CuNi | Alexandria via LeMat-Bulk | GGA-PBEsol | optimized geometry; energy of formation from the pure elements = -92.2 meV per atom
1.0
-0.577 2.442 3.205
-3.932 0.230 -0.883
-0.640 -5.422 1.436
Ni Ca Cu
1 2 1
direct
0.433 0.500 0.742
0.017 0.000 0.908
0.734 0.500 0.342
0.316 0.000 0.507



# 6
Ca2CuNi | Alexandria via LeMat-Bulk | GGA-PBEsol | optimized geometry; energy of formation from the pure elements = 32.1 meV per atom
1.0
3.417 0.000 0.000
0.000 3.417 0.000
0.000 0.000 6.869
Ca Cu Ni
2 1 1
direct
0.000 0.000 0.238
0.000 0.000 0.762
0.500 0.500 0.500
0.500 0.500 0.000



# 7
CaCuNi2 | Alexandria via LeMat-Bulk | GGA-PBEsol | optimized geometry; energy of formation from the pure elements = 201.4 meV per atom
1.0
2.923 0.000 0.000
0.000 4.347 0.000
-1.462 -2.173 4.436
Ca Cu Ni
1 1 2
direct
0.497 0.497 0.993
0.277 0.777 0.554
0.005 0.005 0.009
0.722 0.222 0.444



# 8
CaCuNi2 | Alexandria via LeMat-Bulk | GGA-PBEsol | optimized geometry; energy of formation from the pure elements = -49.0 meV per atom
1.0
-1.595 -3.558 1.067
0.485 -1.383 3.767
-4.338 0.514 2.928
Ni Ca Cu
2 1 1
direct
0.187 0.187 0.939
0.813 0.813 0.061
0.000 0.000 0.500
0.500 0.500 0.000



# 9
Ca2CuNi | Alexandria via LeMat-Bulk | GGA-PBEsol | optimized geometry; energy of formation from the pure elements = 247.6 meV per atom
1.0
4.713 0.000 0.000
2.356 4.082 0.000
2.356 1.361 3.848
Ca Cu Ni
2 1 1
direct
0.000 0.000 0.000
0.750 0.750 0.750
0.500 0.500 0.500
0.250 0.250 0.250



# 10
Ca2TiCuNi | Alexandria via LeMat-Bulk | GGA-PBEsol | optimized geometry; energy of formation from the pure elements = 640.8 meV per atom
1.0
4.523 0.000 0.000
0.000 5.104 0.000
0.000 0.000 5.104
Ni Ca Cu Ti
1 2 1 1
direct
0.000 0.000 0.000
0.000 0.000 0.500
0.000 0.500 0.000
0.500 0.000 0.000
0.500 0.500 0.500



# 11
CaCu2O4 | Alexandria via LeMat-Bulk | GGA-PBEsol | optimized geometry; formation energy from raw total energies = -901 kJ/mol of formula units; excess energy over the best structure of this formula in the dataset = 0.000 eV per atom
1.0
-0.013 5.052 -2.601
-5.060 -1.574 3.175
-0.855 2.570 4.995
Ca Cu O
2 4 8
direct
0.750 0.500 0.750
0.000 0.000 0.000
0.875 0.250 0.375
0.375 0.250 0.375
0.375 0.750 0.375
0.375 0.750 0.875
0.023 0.599 0.343
0.057 0.401 0.023
0.343 0.401 0.576
0.174 0.901 0.693
0.407 0.099 0.174
0.693 0.099 0.727
0.576 0.599 0.057
0.727 0.901 0.407



# 12
Ca2Cu2O5 | Alexandria via LeMat-Bulk | GGA-PBEsol | optimized geometry; formation energy from raw total energies = -1467 kJ/mol of formula units
1.0
3.498 0.000 0.000
0.000 10.364 0.000
0.000 0.000 12.604
Ca Cu O
8 8 20
direct
0.827 0.954 0.871
0.832 0.795 0.537
0.332 0.705 0.037
0.327 0.546 0.371
0.673 0.454 0.871
0.668 0.295 0.537
0.168 0.205 0.037
0.173 0.046 0.371
0.641 0.988 0.154
0.864 0.762 0.250
0.364 0.738 0.750
0.141 0.512 0.654
0.859 0.488 0.154
0.636 0.262 0.250
0.136 0.238 0.750
0.359 0.012 0.654
0.663 0.918 0.289
0.331 0.941 0.522
0.641 0.876 0.703
0.847 0.833 0.115
0.329 0.809 0.881
0.829 0.691 0.381
0.347 0.667 0.615
0.141 0.624 0.203
0.831 0.559 0.022
0.163 0.582 0.789
0.837 0.418 0.289
0.169 0.441 0.522
0.859 0.376 0.703
0.653 0.333 0.115
0.171 0.309 0.881
0.671 0.191 0.381
0.153 0.167 0.615
0.359 0.124 0.203
0.669 0.059 0.022
0.337 0.082 0.789



# 13
CaCu2O4 | Alexandria via LeMat-Bulk | GGA-PBEsol | optimized geometry; formation energy from raw total energies = -884 kJ/mol of formula units; excess energy over the best structure of this formula in the dataset = 0.026 eV per atom
1.0
-2.924 -0.807 1.511
4.263 -6.633 4.707
2.024 6.573 7.428
Ca Cu O
4 8 16
direct
0.603 0.750 0.346
0.603 0.250 0.154
0.397 0.750 0.846
0.397 0.250 0.654
0.136 0.931 0.113
0.136 0.431 0.387
0.864 0.431 0.887
0.136 0.069 0.387
0.864 0.069 0.887
0.136 0.569 0.113
0.864 0.569 0.613
0.864 0.931 0.613
0.880 0.613 0.959
0.120 0.387 0.041
0.438 0.500 0.250
0.120 0.613 0.459
0.120 0.887 0.459
0.106 0.250 0.311
0.880 0.387 0.541
0.894 0.250 0.811
0.438 0.000 0.250
0.562 0.500 0.750
0.880 0.887 0.959
0.894 0.750 0.689
0.106 0.750 0.189
0.562 0.000 0.750
0.880 0.113 0.541
0.120 0.113 0.041



# 14
CaCu2O3 | Alexandria via LeMat-Bulk | GGA-PBEsol | optimized geometry; formation energy from raw total energies = -798 kJ/mol of formula units
1.0
-0.061 2.786 -2.187
-3.987 0.415 0.640
1.873 6.094 7.713
Ca Cu O
2 4 6
direct
0.377 0.000 0.000
0.623 0.500 0.500
0.128 0.000 0.665
0.128 0.000 0.335
0.872 0.500 0.835
0.872 0.500 0.165
0.635 0.500 0.000
0.365 0.000 0.500
0.901 0.000 0.166
0.099 0.500 0.666
0.099 0.500 0.334
0.901 0.000 0.834



# 15
CaCu2O4 | Alexandria via LeMat-Bulk | GGA-PBEsol | optimized geometry; formation energy from raw total energies = -806 kJ/mol of formula units; excess energy over the best structure of this formula in the dataset = 0.141 eV per atom
1.0
5.431 0.000 0.000
0.000 5.431 0.000
-2.715 -2.715 6.108
Ca Cu O
2 4 8
direct
0.500 0.500 0.000
0.750 0.250 0.500
0.125 0.875 0.250
0.625 0.875 0.750
0.125 0.375 0.250
0.125 0.875 0.750
0.337 0.114 0.228
0.886 0.109 0.772
0.886 0.663 0.772
0.913 0.636 0.272
0.359 0.636 0.272
0.364 0.641 0.728
0.891 0.114 0.228
0.364 0.087 0.728



# 16
CaCu2O2 | Alexandria via LeMat-Bulk | GGA-PBEsol | optimized geometry; formation energy from raw total energies = -674 kJ/mol of formula units
1.0
-4.769 1.685 1.121
2.487 -3.631 4.065
1.821 2.320 4.259
Ca Cu O
2 4 4
direct
0.000 0.000 0.000
0.750 0.500 0.750
0.875 0.250 0.375
0.375 0.750 0.875
0.375 0.750 0.375
0.375 0.250 0.375
0.238 0.475 0.762
0.512 0.025 0.988
0.762 0.525 0.238
0.988 0.975 0.512



# 17
CaCuO3 | Alexandria via LeMat-Bulk | GGA-PBEsol | optimized geometry; formation energy from raw total energies = 19 kJ/mol of formula units
1.0
-1.244 2.944 2.861
1.142 -2.623 3.196
3.943 1.689 -0.023
Ca O Cu
1 3 1
direct
0.000 0.000 0.000
0.000 0.500 0.000
0.000 0.000 0.500
0.500 0.000 0.000
0.500 0.500 0.500



# 18
Ca4Cu5O10 | Alexandria via LeMat-Bulk | GGA-PBEsol | optimized geometry; formation energy from raw total energies = -2969 kJ/mol of formula units
1.0
6.356 0.000 0.000
0.000 8.652 0.012
0.000 -2.248 8.355
Ca Cu O
8 10 20
direct
0.750 0.815 0.685
0.250 0.185 0.315
0.250 0.685 0.815
0.750 0.315 0.185
0.750 0.561 0.939
0.250 0.439 0.061
0.250 0.939 0.561
0.750 0.061 0.439
0.000 0.000 0.000
0.500 0.500 0.500
0.977 0.602 0.398
0.023 0.398 0.602
0.523 0.102 0.898
0.477 0.898 0.102
0.460 0.702 0.298
0.540 0.298 0.702
0.040 0.202 0.798
0.960 0.798 0.202
0.000 0.383 0.383
0.000 0.617 0.617
0.500 0.117 0.117
0.500 0.883 0.883
0.939 0.570 0.176
0.061 0.430 0.824
0.561 0.324 0.930
0.061 0.176 0.570
0.439 0.676 0.070
0.939 0.824 0.430
0.439 0.930 0.324
0.561 0.070 0.676
0.462 0.717 0.524
0.538 0.283 0.476
0.038 0.976 0.783
0.538 0.524 0.717
0.962 0.024 0.217
0.462 0.476 0.283
0.962 0.783 0.976
0.038 0.217 0.024



# 19
Ca2CuO3 | Alexandria via LeMat-Bulk | GGA-PBEsol | optimized geometry; formation energy from raw total energies = -1290 kJ/mol of formula units
1.0
-0.588 1.256 -2.919
0.173 -3.451 -1.520
-5.699 0.408 3.113
Ca O Cu
2 3 1
direct
0.351 0.851 0.702
0.649 0.149 0.298
0.000 0.000 0.000
0.840 0.340 0.679
0.160 0.660 0.321
0.000 0.500 0.000